(1)
The following is a DFT calculation (PBE-GGA) of a geometry-optimized SmSc3 structure.

As for the volume: 106 Å³/f.u. The value obtained for the energy is -23.47 eV/cell. The value obtained for the total magnetization is 0.0 μB/cell. For the formation energy, the calculation gives 61 meV per atom. The calculation puts the energy above the lowest structure with this stoichiometry at 0.06 eV per formula unit.

Unit cell a=4.7833 b=4.7833 c=5.7511 alpha=114.57 beta=114.57 gamma=90.00
Sites, in units of the cell vectors:
1 Sc 0.7500 0.2500 0.5000
2 Sc 0.2500 0.7500 0.5000
3 Sc 0.5000 0.5000 0.0000
4 Sm 0.0000 0.0000 0.0000



(2)
The following is a DFT calculation (PBE-GGA) of a geometry-optimized Th2SnSb structure.

As for the volume: 130 Å³/f.u. As for the formation energy (no corrections): -0.630 eV per atom. The value obtained for the energy is -50.97 eV/cell. The value obtained for the total magnetization is 0.0 μB/cell. The calculation puts the energy above the lowest structure with this stoichiometry at 0.32 eV per formula unit.

Unit cell a=4.4160 b=7.7370 c=7.6211 alpha=90.00 beta=90.00 gamma=90.00
Sites, in units of the cell vectors:
1 Th 0.0000 0.2510 0.3333
2 Th 0.0000 0.7490 0.6667
3 Th 0.5000 0.2490 0.8333
4 Th 0.5000 0.7510 0.1667
5 Sn 0.5000 0.5000 0.5000
6 Sn 0.0000 0.0000 0.0000
7 Sb 0.0000 0.5000 0.0000
8 Sb 0.5000 0.0000 0.5000



(3)
The following is a DFT calculation (PBE-GGA) of a geometry-optimized MoRu structure.

As for the volume: 32 Å³/f.u. The value obtained for the energy is -151.99 eV/cell. The value obtained for the total magnetization is 0.0 μB/cell. For the formation energy, the calculation gives 554 meV per atom.

Unit cell a=9.6269 b=9.6269 c=2.7676 alpha=90.00 beta=90.00 gamma=90.00
Sites, in units of the cell vectors:
1 Mo 0.3927 0.8528 0.0000
2 Mo 0.6073 0.1472 0.0000
3 Mo 0.1472 0.3927 0.0000
4 Mo 0.8528 0.6073 0.0000
5 Mo 0.8927 0.3528 0.5000
6 Mo 0.1073 0.6472 0.5000
7 Mo 0.6472 0.8927 0.5000
8 Mo 0.3528 0.1073 0.5000
9 Ru 0.3985 0.3360 0.0000
10 Ru 0.6015 0.6640 0.0000
11 Ru 0.6640 0.3985 0.0000
12 Ru 0.3360 0.6015 0.0000
13 Ru 0.8985 0.8360 0.5000
14 Ru 0.1015 0.1640 0.5000
15 Ru 0.1640 0.8985 0.5000
16 Ru 0.8360 0.1015 0.5000



(4)
The following is a DFT calculation (PBE-GGA) of a geometry-optimized Li8Sn6Au structure.

As for the volume: 311 Å³/f.u. The value obtained for the energy is -46.79 eV/cell. The value obtained for the total magnetization is 0.0 μB/cell. For the formation energy, the calculation gives -279 meV per atom.

Unit cell a=7.8656 b=7.8656 c=7.3694 alpha=57.75 beta=57.75 gamma=60.00
Sites, in units of the cell vectors:
1 Li 0.6633 0.1458 0.3596
2 Li 0.8542 0.1687 0.6404
3 Li 0.1687 0.3367 0.6404
4 Li 0.5919 0.5919 0.2244
5 Li 0.4081 0.4081 0.7756
6 Li 0.8313 0.6633 0.3596
7 Li 0.1458 0.8313 0.3596
8 Li 0.3367 0.8542 0.6404
9 Sn 0.4654 0.9664 0.8464
10 Sn 0.0336 0.2782 0.1536
11 Sn 0.2782 0.5346 0.1536
12 Sn 0.7218 0.4654 0.8464
13 Sn 0.9664 0.7218 0.8464
14 Sn 0.5346 0.0336 0.1536
15 Au 0.0000 0.0000 0.0000



(5)
The following is a DFT calculation (PBE-GGA) of a geometry-optimized Ho2B3C4 structure.

As for the volume: 95 Å³/f.u. The value obtained for the energy is -124.14 eV/cell. The value obtained for the total magnetization is 0.0 μB/cell. For the formation energy, the calculation gives 446 meV per atom.

Unit cell a=4.5129 b=7.3176 c=6.1643 alpha=90.00 beta=111.47 gamma=90.00
Sites, in units of the cell vectors:
1 Ho 0.1252 0.5795 0.2504
2 Ho 0.8748 0.4205 0.7496
3 Ho 0.3748 0.0795 0.7496
4 Ho 0.6252 0.9205 0.2504
5 B 0.0000 0.0000 0.0000
6 B 0.5000 0.5000 0.0000
7 B 0.5603 0.7500 0.6207
8 B 0.9397 0.2500 0.3793
9 B 0.4397 0.2500 0.3793
10 B 0.0603 0.7500 0.6207
11 C 0.7033 0.7500 0.9066
12 C 0.7967 0.2500 0.0934
13 C 0.2967 0.2500 0.0934
14 C 0.2033 0.7500 0.9066
15 C 0.2380 0.8423 0.4760
16 C 0.7620 0.1577 0.5240
17 C 0.2620 0.3423 0.5240
18 C 0.7380 0.6577 0.4760



(6)
The following is a DFT calculation (PBE-GGA) of a geometry-optimized K3Tb2PmTe6 structure.

As for the volume: 441 Å³/f.u. As for the formation energy (no corrections): -1.407 eV per atom. The value obtained for the energy is -53.04 eV/cell. The value obtained for the total magnetization is 0.0 μB/cell.

Unit cell a=7.8601 b=7.8601 c=8.6550 alpha=98.70 beta=98.70 gamma=120.00
Sites, in units of the cell vectors:
1 K 0.1653 0.8347 0.5000
2 K 0.8347 0.1653 0.5000
3 K 0.5000 0.5000 0.5000
4 Tb 0.3332 0.6668 0.0000
5 Tb 0.6668 0.3332 0.0000
6 Pm 0.0000 0.0000 0.0000
7 Te 0.9298 0.5916 0.7893
8 Te 0.7319 0.7319 0.2105
9 Te 0.0702 0.4084 0.2107
10 Te 0.5916 0.9298 0.7893
11 Te 0.2681 0.2681 0.7895
12 Te 0.4084 0.0702 0.2107



(7)
The following is a DFT calculation (PBE-GGA) of a geometry-optimized Ba2CuSn4Pd3 structure.

As for the volume: 250 Å³/f.u. The value obtained for the energy is -45.71 eV/cell. The value obtained for the total magnetization is 0.0 μB/cell. For the formation energy, the calculation gives -618 meV per atom.

Unit cell a=4.7512 b=4.7512 c=11.0560 alpha=90.00 beta=90.00 gamma=90.00
Sites, in units of the cell vectors:
1 Ba 0.5000 0.0000 0.2551
2 Ba 0.0000 0.5000 0.7449
3 Cu 0.5000 0.5000 0.5000
4 Sn 0.5000 0.5000 0.0000
5 Sn 0.0000 0.0000 0.0000
6 Sn 0.5000 0.0000 0.6185
7 Sn 0.0000 0.5000 0.3815
8 Pd 0.0000 0.0000 0.5000
9 Pd 0.5000 0.0000 0.8704
10 Pd 0.0000 0.5000 0.1296



(8)
The following is a DFT calculation (PBE-GGA) of a geometry-optimized LaGe2PRu2 structure.

As for the volume: 114 Å³/f.u. The value obtained for the energy is -40.69 eV/cell. The value obtained for the total magnetization is 0.9 μB/cell. For the formation energy, the calculation gives -428 meV per atom.

Unit cell a=4.4764 b=4.4764 c=5.6768 alpha=90.00 beta=90.00 gamma=90.00
Each line ends with the local moment (μB).
Sites, in units of the cell vectors:
1 La 0.0000 0.0000 0.5000  0.01
2 Ge 0.5000 0.5000 0.7267  0.01
3 Ge 0.5000 0.5000 0.2733  0.01
4 P 0.0000 0.0000 0.0000  0.00
5 Ru 0.5000 0.0000 0.0000  0.40
6 Ru 0.0000 0.5000 0.0000  0.40



Copy entry 2 word for word.
The following is a DFT calculation (PBE-GGA) of a geometry-optimized Th2SnSb structure.

As for the volume: 130 Å³/f.u. As for the formation energy (no corrections): -0.630 eV per atom. The value obtained for the energy is -50.97 eV/cell. The value obtained for the total magnetization is 0.0 μB/cell. The calculation puts the energy above the lowest structure with this stoichiometry at 0.32 eV per formula unit.

Unit cell a=4.4160 b=7.7370 c=7.6211 alpha=90.00 beta=90.00 gamma=90.00
Sites, in units of the cell vectors:
1 Th 0.0000 0.2510 0.3333
2 Th 0.0000 0.7490 0.6667
3 Th 0.5000 0.2490 0.8333
4 Th 0.5000 0.7510 0.1667
5 Sn 0.5000 0.5000 0.5000
6 Sn 0.0000 0.0000 0.0000
7 Sb 0.0000 0.5000 0.0000
8 Sb 0.5000 0.0000 0.5000



Question: What is the formula in the fifth record?
Answer: Ho2B3C4



Question: Number 4 is which compound?
Answer: Li8Sn6Au